A geometry-optimized HfMgSeN2 structure. Source: Alexandria, functional PBE-GGA.

a = 4.1988 Å, b = 4.1988 Å, c = 4.9841 Å
α = 90.00°, β = 90.00°, γ = 90.00°
Last column: nearest neighbours and their distance in Å.
Atoms (fractional coordinates):
Hf: 0.0000 0.0000 0.0000  2 Se 2.49
Mg: 0.5000 0.5000 0.0000  4 Hf 2.97, 8 N 3.26
Se: 0.0000 0.0000 0.5000  4 N 2.10
N: 0.0000 0.5000 0.5000  2 Se 2.10
N: 0.5000 0.0000 0.5000  2 Se 2.10

Summary:
SG ... P4/mmm, No. 123
Relative energy among the computed polymorphs ... 1.720 eV per atom
Calculated total energy ... -4.78 eV/atom
V ... 87.9 Å³ per cell
Raw formation energy ... 1.553 eV per atom

A geometry-optimized HfMgSeN2 structure. Source: Alexandria, functional PBE-GGA.

a = 4.0706 Å, b = 4.0706 Å, c = 5.6113 Å
α = 90.00°, β = 90.00°, γ = 90.00°
Last column: nearest neighbours and their distance in Å.
Atoms (fractional coordinates):
Hf: 0.0000 0.0000 0.0000  4 N 2.04
Mg: 0.5000 0.5000 0.5000  4 Se 2.88
Se: 0.0000 0.0000 0.5000  2 Hf 2.81, 4 Mg 2.88
N: 0.0000 0.5000 0.0000  2 Hf 2.04
N: 0.5000 0.0000 0.0000  2 Hf 2.04

Summary:
SG ... P4/mmm, No. 123
Relative energy among the computed polymorphs ... 0.000 eV per atom
Calculated total energy ... -6.50 eV/atom
V ... 93.0 Å³ per cell
Raw formation energy ... -0.167 eV per atom

A geometry-optimized HfMg2SiN4 structure. Source: Alexandria, functional PBE-GGA.

a = 6.6094 Å, b = 5.8110 Å, c = 5.1604 Å
α = 90.00°, β = 90.00°, γ = 90.00°
Last column: nearest neighbours and their distance in Å.
Atoms (fractional coordinates):
Hf: 0.0000 0.1503 0.0000  4 N 2.02-2.09
Hf: 0.5000 0.8497 0.5000  4 N 2.02-2.09
Mg: 0.2483 0.3342 0.4987  4 N 2.06-2.14
Mg: 0.2517 0.6658 0.9987  4 N 2.06-2.14
Mg: 0.7483 0.6658 0.9987  4 N 2.06-2.14
Mg: 0.7517 0.3342 0.4987  4 N 2.06-2.14
Si: 0.0000 0.8263 0.5107  4 N 1.76-1.79
Si: 0.5000 0.1737 0.0107  4 N 1.76-1.79
N: 0.0000 0.1179 0.3993  1 Si 1.79
N: 0.0000 0.8282 0.8517  1 Si 1.76
N: 0.2262 0.6865 0.4106  1 Si 1.78
N: 0.2738 0.3135 0.9106  1 Si 1.78
N: 0.5000 0.1718 0.3517  1 Si 1.76
N: 0.5000 0.8821 0.8993  1 Si 1.79
N: 0.7262 0.3135 0.9106  1 Si 1.78
N: 0.7738 0.6865 0.4106  1 Si 1.78

Summary:
SG ... Pmn2_1, No. 31
Calculated total energy ... -7.70 eV/atom
V ... 198.2 Å³ per cell
Raw formation energy ... -1.218 eV per atom